Record 1
Compound: LiRh2Br
Source: Alexandria via LeMat-Bulk
Functional: GGA-PBE
Structure: optimized geometry

The structure in POSCAR format:
```
LiRh2Br
1.0
3.966 -1.521 0.000
3.966 1.521 0.000
-2.432 0.000 6.109
Li Rh Br
1 2 1
Cartesian
0.000 0.000 0.000
3.517 0.000 2.584
5.716 0.000 1.615
-0.214 0.000 4.827
```

For the formation energy without anion corrections, the calculation gives 0.112 eV per atom. The offset from the most stable computed form comes out at 127 meV per atom. The value obtained for the energy is -4.460 eV per atom.

Record 2
Compound: La4PrSm2Tm
Source: Alexandria via LeMat-Bulk
Functional: GGA-PBE
Structure: optimized geometry

The structure in POSCAR format:
```
La4PrSm2Tm
1.0
6.063 0.000 0.000
0.000 6.060 0.000
-0.003 0.000 7.684
La Pr Sm Tm
4 1 2 1
Cartesian
0.004 0.000 2.010
3.019 3.030 1.994
3.041 3.030 5.690
6.056 0.000 5.674
3.032 0.000 0.000
0.000 3.030 0.000
3.030 0.000 3.842
-0.002 3.030 3.842
```

The calculated formation energy is 90 meV/atom. The value obtained for the energy is -4.710 eV per atom.

Record 3
Compound: LiSm2NpTe5
Source: Alexandria via LeMat-Bulk
Functional: GGA-PBE
Structure: optimized geometry

The structure in POSCAR format:
```
LiSm2NpTe5
1.0
2.191 -9.297 0.000
2.191 9.297 0.000
0.000 0.000 13.293
Li Sm Np Te
2 4 2 10
Cartesian
2.191 8.263 6.646
2.191 -8.263 0.000
2.191 2.372 4.516
2.191 1.995 9.618
2.191 -1.995 2.972
2.191 -2.372 11.163
2.191 3.711 0.617
2.191 -3.711 7.263
2.191 9.249 10.883
2.191 6.816 0.497
2.191 5.812 5.064
2.191 5.292 9.410
2.191 0.879 1.495
2.191 -0.879 8.142
2.191 -5.292 2.764
2.191 -5.812 11.711
2.191 -6.816 7.143
2.191 -9.249 4.237
```

For the formation energy without anion corrections, the calculation gives -1.069 eV per atom. The value obtained for the energy is -5.514 eV per atom.

Record 4
Compound: LiCuI2
Source: Alexandria via LeMat-Bulk
Functional: GGA-PBE
Structure: optimized geometry

The structure in POSCAR format:
```
LiCuI2
1.0
0.000 3.755 3.755
3.755 0.000 3.755
3.755 3.755 0.000
Li Cu I
1 1 2
Cartesian
0.000 0.000 0.000
3.755 3.755 3.755
1.878 1.878 1.878
5.633 5.633 5.633
```

For the formation energy without anion corrections, the calculation gives -0.149 eV per atom. The offset from the most stable computed form comes out at 518 meV per atom. The value obtained for the energy is -2.427 eV per atom.

Record 5
Compound: Pm7Nd12Dy
Source: Alexandria via LeMat-Bulk
Functional: GGA-PBE
Structure: optimized geometry

The structure in POSCAR format:
```
Pm7Nd12Dy
1.0
9.466 5.465 2.315
-9.466 5.465 2.315
0.000 -10.931 2.315
Pm Nd Dy
7 12 1
Cartesian
0.000 0.000 0.000
-2.883 -0.101 1.923
1.529 -2.447 1.923
1.354 2.547 1.923
-1.354 -2.547 5.022
-1.529 2.447 5.022
2.883 0.101 5.022
-7.440 -1.956 3.157
-2.026 -7.422 3.788
-4.947 2.122 2.957
-4.312 -3.223 3.988
0.635 -5.345 2.957
-5.414 5.466 3.788
5.414 -5.466 3.157
-0.635 5.345 3.988
4.312 3.223 2.957
4.947 -2.122 3.988
2.026 7.422 3.157
7.440 1.956 3.788
0.000 0.000 3.472
```

The calculated formation energy is 271 meV/atom. The offset from the most stable computed form comes out at 53 meV per atom. The value obtained for the energy is -4.482 eV per atom.

Record 6
Compound: GdAs2Pb
Source: Alexandria via LeMat-Bulk
Functional: GGA-PBE
Structure: optimized geometry

The structure in POSCAR format:
```
GdAs2Pb
1.0
2.240 1.293 8.003
-2.240 1.293 8.003
0.000 -2.586 8.003
Gd As Pb
1 2 1
Cartesian
0.000 0.000 0.000
0.000 0.000 9.326
0.000 0.000 14.684
0.000 0.000 12.005
```

The calculated formation energy is -222 meV/atom. The value obtained for the energy is -6.994 eV per atom.

Record 7
Compound: Rb2YBCl6
Source: Alexandria via LeMat-Bulk
Functional: GGA-PBE
Structure: optimized geometry

The structure in POSCAR format:
```
Rb2YBCl6
1.0
0.000 5.287 5.287
5.287 0.000 5.287
5.287 5.287 0.000
Rb Y B Cl
2 1 1 6
Cartesian
2.643 2.643 2.643
7.930 7.930 7.930
0.000 0.000 0.000
5.287 5.287 5.287
5.287 5.287 2.641
5.287 2.641 5.287
7.933 5.287 5.287
2.641 5.287 5.287
5.287 7.933 5.287
5.287 5.287 7.933
```

For the formation energy without anion corrections, the calculation gives -1.407 eV per atom. The value obtained for the energy is -4.023 eV per atom.

Record 8
Compound: Pm5DyHg6
Source: Alexandria via LeMat-Bulk
Functional: GGA-PBE
Structure: optimized geometry

The structure in POSCAR format:
```
Pm5DyHg6
1.0
5.350 0.000 0.000
0.000 7.642 0.000
-2.653 0.000 8.038
Pm Dy Hg
5 1 6
Cartesian
0.000 0.000 0.000
0.015 0.000 5.333
0.015 3.821 5.359
2.682 3.821 2.679
2.682 0.000 2.705
0.000 3.821 0.000
0.007 1.939 2.629
0.007 5.703 2.629
2.675 1.959 0.000
2.675 5.684 0.000
2.690 1.939 5.409
2.690 5.703 5.409
```

The calculated formation energy is -474 meV/atom. The value obtained for the energy is -2.987 eV per atom.

Record 9
Compound: KNb2HO6
Source: Alexandria via LeMat-Bulk
Functional: GGA-PBE
Structure: optimized geometry

The structure in POSCAR format:
```
KNb2HO6
1.0
4.283 -7.061 0.000
4.283 7.061 0.000
-1.627 0.000 7.493
K Nb H O
2 4 2 12
Cartesian
3.063 4.040 5.620
3.877 -4.040 1.873
1.513 0.392 6.274
2.327 -0.392 2.528
4.612 0.392 4.965
5.426 -0.392 1.218
3.063 6.658 5.620
3.877 -6.658 1.873
0.752 0.524 2.168
1.231 2.142 6.187
-0.062 -0.524 5.914
2.489 0.042 4.514
3.303 -0.042 0.768
2.044 -2.142 2.441
4.895 2.142 5.052
3.637 0.042 6.725
4.450 -0.042 2.978
7.001 0.524 1.578
5.709 -2.142 1.305
6.187 -0.524 5.325
```

The value obtained for the energy is -7.623 eV per atom.

Record 10
Compound: SmScSbSe
Source: Alexandria via LeMat-Bulk
Functional: GGA-PBE
Structure: optimized geometry

The structure in POSCAR format:
```
SmScSbSe
1.0
2.036 1.176 7.284
-2.036 1.176 7.284
0.000 -2.352 7.284
Sm Sc Sb Se
1 1 1 1
Cartesian
0.000 0.000 0.000
0.000 0.000 18.223
0.000 0.000 9.295
0.000 0.000 5.312
```

For the formation energy without anion corrections, the calculation gives -1.298 eV per atom. The value obtained for the energy is -5.962 eV per atom.

Record 11
Compound: Li2Ga5Ag
Source: Alexandria via LeMat-Bulk
Functional: GGA-PBE
Structure: optimized geometry

The structure in POSCAR format:
```
Li2Ga5Ag
1.0
3.253 -4.431 0.000
3.253 4.431 0.000
-3.222 0.000 4.823
Li Ga Ag
2 5 1
Cartesian
3.253 2.394 0.000
3.253 -2.394 0.000
1.611 2.477 2.401
-1.256 0.000 4.333
2.822 0.000 2.977
4.508 0.000 0.505
1.611 -2.477 2.401
0.407 0.000 1.856
```

The calculated formation energy is -159 meV/atom. The offset from the most stable computed form comes out at 35 meV per atom. The value obtained for the energy is -2.885 eV per atom.

Record 12
Compound: Sm3IBr7
Source: Alexandria via LeMat-Bulk
Functional: GGA-PBE
Structure: optimized geometry

The structure in POSCAR format:
```
Sm3IBr7
1.0
8.440 0.000 0.000
-4.220 7.309 0.000
0.000 0.000 7.248
Sm I Br
3 1 7
Cartesian
-2.099 3.661 0.000
2.099 3.661 0.000
0.000 7.297 0.000
4.220 2.436 2.002
0.000 2.527 1.606
-2.032 6.046 1.606
0.000 4.873 5.510
2.188 1.263 5.651
2.032 6.046 1.606
6.253 1.263 5.651
4.220 4.783 5.651
```

For the formation energy without anion corrections, the calculation gives -1.726 eV per atom. The value obtained for the energy is -4.218 eV per atom.